<i>
{
  "formula": "SrTc2Cl",
  "functional": "GGA-PBE",
  "state": "optimized geometry",
  "sg": "No. 123",
  "dos_ef_per_ev_fu": 3.1,
  "crystal_system": "tetragonal",
  "lattice_angstrom": [[3.7057, 0.0000, 0.0000], [0.0000, 3.7057, 0.0000], [0.0000, 0.0000, 6.6347]],
  "species": ["Sr", "Tc", "Tc", "Cl"],
  "fractional_positions": [[0.0000, 0.0000, 0.0000], [0.0000, 0.5000, 0.5000], [0.5000, 0.0000, 0.5000], [0.5000, 0.5000, 0.0000]]
}



<ii>
{
  "formula": "SrTc2Cl",
  "functional": "GGA-PBE",
  "state": "optimized geometry",
  "sg": "No. 44",
  "dos_ef_per_ev_fu": 5.1,
  "crystal_system": "orthorhombic",
  "lattice_angstrom": [[3.6685, 0.0000, 0.0000], [0.0000, 6.0283, 0.0000], [0.0000, 0.0000, 8.5126]],
  "species": ["Sr", "Sr", "Tc", "Tc", "Tc", "Tc", "Cl", "Cl"],
  "fractional_positions": [[0.0000, 0.0000, 0.0000], [0.5000, 0.5000, 0.5000], [0.0000, 0.0000, 0.5066], [0.0000, 0.5000, 0.8391], [0.5000, 0.0000, 0.3391], [0.5000, 0.5000, 0.0066], [0.0000, 0.5000, 0.2297], [0.5000, 0.0000, 0.7297]]
}



<iii>
{
  "formula": "SrTc2Cl",
  "functional": "GGA-PBE",
  "state": "optimized geometry",
  "sg": "No. 65",
  "dos_ef_per_ev_fu": 5.1,
  "crystal_system": "orthorhombic",
  "lattice_angstrom": [[5.1100, 0.0000, 0.0000], [0.0000, 11.7531, 0.0000], [0.0000, 0.0000, 2.8747]],
  "species": ["Sr", "Sr", "Tc", "Tc", "Tc", "Tc", "Cl", "Cl"],
  "fractional_positions": [[0.0000, 0.0000, 0.0000], [0.5000, 0.5000, 0.0000], [0.2500, 0.2500, 0.5000], [0.2500, 0.7500, 0.5000], [0.7500, 0.2500, 0.5000], [0.7500, 0.7500, 0.5000], [0.0000, 0.5000, 0.0000], [0.5000, 0.0000, 0.0000]]
}



<iv>
{
  "formula": "SrTc2Cl",
  "functional": "GGA-PBE",
  "state": "optimized geometry",
  "sg": "No. 6",
  "dos_ef_per_ev_fu": 2.8,
  "crystal_system": "monoclinic",
  "lattice_angstrom": [[3.4216, 0.0000, 0.0000], [0.0000, 3.4034, 0.0000], [-1.6849, 0.0000, 8.2261]],
  "species": ["Sr", "Tc", "Tc", "Cl"],
  "fractional_positions": [[0.0000, 0.0000, 0.0000], [0.3464, 0.5000, 0.6849], [0.8069, 0.0000, 0.6046], [0.5980, 0.5000, 0.1988]]
}



Which of them is the most stable? Correct choice: <iv>.



<i>
{
  "formula": "SrTc2Cl",
  "functional": "GGA-PBE",
  "state": "optimized geometry",
  "sg": "No. 10",
  "dos_ef_per_ev_fu": 4.3,
  "crystal_system": "monoclinic",
  "lattice_angstrom": [[3.3878, 0.0000, 0.0000], [0.0000, 6.3899, 0.0000], [-0.1243, 0.0000, 4.1869]],
  "species": ["Sr", "Tc", "Tc", "Cl"],
  "fractional_positions": [[0.0000, 0.0000, 0.0000], [0.2944, 0.5000, 0.2184], [0.7056, 0.5000, 0.7816], [0.5000, 0.0000, 0.5000]]
}



<ii>
{
  "formula": "SrTc2Cl",
  "functional": "GGA-PBE",
  "state": "optimized geometry",
  "sg": "No. 47",
  "dos_ef_per_ev_fu": 4.4,
  "crystal_system": "orthorhombic",
  "lattice_angstrom": [[3.1139, 0.0000, 0.0000], [0.0000, 5.5150, 0.0000], [0.0000, 0.0000, 5.5583]],
  "species": ["Sr", "Tc", "Tc", "Cl"],
  "fractional_positions": [[0.0000, 0.0000, 0.0000], [0.5000, 0.1925, 0.5000], [0.5000, 0.8075, 0.5000], [0.0000, 0.5000, 0.0000]]
}



Which of them is the most stable? Correct choice: <i>.



<i>
{
  "formula": "Sr2TcCl",
  "functional": "GGA-PBE",
  "state": "optimized geometry",
  "sg": "No. 44",
  "dos_ef_per_ev_fu": 2.9,
  "crystal_system": "orthorhombic",
  "lattice_angstrom": [[3.5204, 0.0000, 0.0000], [0.0000, 5.1019, 0.0000], [0.0000, 0.0000, 12.8033]],
  "species": ["Sr", "Sr", "Sr", "Sr", "Tc", "Tc", "Cl", "Cl"],
  "fractional_positions": [[0.0000, 0.0000, 0.0000], [0.0000, 0.5000, 0.2095], [0.5000, 0.0000, 0.7095], [0.5000, 0.5000, 0.5000], [0.0000, 0.5000, 0.7516], [0.5000, 0.0000, 0.2516], [0.0000, 0.0000, 0.4985], [0.5000, 0.5000, 0.9985]]
}



<ii>
{
  "formula": "Sr2TcCl",
  "functional": "GGA-PBE",
  "state": "optimized geometry",
  "sg": "No. 122",
  "dos_ef_per_ev_fu": 5.5,
  "crystal_system": "tetragonal",
  "lattice_angstrom": [[8.0111, 0.0000, 0.0000], [0.0000, 8.0111, 0.0000], [0.0000, 0.0000, 8.2638]],
  "species": ["Sr", "Sr", "Sr", "Sr", "Sr", "Sr", "Sr", "Sr", "Tc", "Tc", "Tc", "Tc", "Cl", "Cl", "Cl", "Cl"],
  "fractional_positions": [[0.2349, 0.2500, 0.1250], [0.2500, 0.7349, 0.3750], [0.2500, 0.7651, 0.8750], [0.2651, 0.2500, 0.6250], [0.7349, 0.7500, 0.6250], [0.7500, 0.2349, 0.8750], [0.7500, 0.2651, 0.3750], [0.7651, 0.7500, 0.1250], [0.0000, 0.0000, 0.5000], [0.0000, 0.5000, 0.7500], [0.5000, 0.0000, 0.2500], [0.5000, 0.5000, 0.0000], [0.0000, 0.0000, 0.0000], [0.0000, 0.5000, 0.2500], [0.5000, 0.0000, 0.7500], [0.5000, 0.5000, 0.5000]]
}



<iii>
{
  "formula": "Sr2TcCl",
  "functional": "GGA-PBE",
  "state": "optimized geometry",
  "sg": "No. 216",
  "dos_ef_per_ev_fu": 2.3,
  "crystal_system": "cubic",
  "lattice_angstrom": [[7.7091, 0.0000, 0.0000], [0.0000, 7.7091, 0.0000], [0.0000, 0.0000, 7.7091]],
  "species": ["Sr", "Sr", "Sr", "Sr", "Sr", "Sr", "Sr", "Sr", "Tc", "Tc", "Tc", "Tc", "Cl", "Cl", "Cl", "Cl"],
  "fractional_positions": [[0.0000, 0.0000, 0.0000], [0.0000, 0.5000, 0.5000], [0.2500, 0.2500, 0.2500], [0.2500, 0.7500, 0.7500], [0.5000, 0.0000, 0.5000], [0.5000, 0.5000, 0.0000], [0.7500, 0.2500, 0.7500], [0.7500, 0.7500, 0.2500], [0.0000, 0.0000, 0.5000], [0.0000, 0.5000, 0.0000], [0.5000, 0.0000, 0.0000], [0.5000, 0.5000, 0.5000], [0.2500, 0.2500, 0.7500], [0.2500, 0.7500, 0.2500], [0.7500, 0.2500, 0.2500], [0.7500, 0.7500, 0.7500]]
}



Which of them is the most stable? Correct choice: <i>.



<i>
{
  "formula": "Sr2TcCl",
  "functional": "GGA-PBE",
  "state": "optimized geometry",
  "sg": "No. 38",
  "dos_ef_per_ev_fu": 3.2,
  "crystal_system": "orthorhombic",
  "lattice_angstrom": [[5.2631, 0.0000, 0.0000], [0.0000, 3.5203, 0.0000], [0.0000, 0.0000, 11.7624]],
  "species": ["Sr", "Sr", "Sr", "Sr", "Tc", "Tc", "Cl", "Cl"],
  "fractional_positions": [[0.0000, 0.0000, 0.0000], [0.0000, 0.5000, 0.5000], [0.5000, 0.0000, 0.2581], [0.5000, 0.5000, 0.7581], [0.5000, 0.0000, 0.5113], [0.5000, 0.5000, 0.0113], [0.0000, 0.0000, 0.7420], [0.0000, 0.5000, 0.2420]]
}



<ii>
{
  "formula": "Sr2TcCl",
  "functional": "GGA-PBE",
  "state": "optimized geometry",
  "sg": "No. 119",
  "dos_ef_per_ev_fu": 4.0,
  "crystal_system": "tetragonal",
  "lattice_angstrom": [[4.3271, 0.0000, 0.0000], [0.0000, 4.3271, 0.0000], [0.0000, 0.0000, 13.5522]],
  "species": ["Sr", "Sr", "Sr", "Sr", "Tc", "Tc", "Cl", "Cl"],
  "fractional_positions": [[0.0000, 0.0000, 0.0000], [0.0000, 0.5000, 0.2500], [0.5000, 0.0000, 0.7500], [0.5000, 0.5000, 0.5000], [0.0000, 0.5000, 0.7500], [0.5000, 0.0000, 0.2500], [0.0000, 0.0000, 0.5000], [0.5000, 0.5000, 0.0000]]
}



Which of them is the most stable? Correct choice: <i>.



<i>
{
  "formula": "Sr2TcCl",
  "functional": "GGA-PBE",
  "state": "optimized geometry",
  "sg": "No. 12",
  "dos_ef_per_ev_fu": 4.4,
  "crystal_system": "monoclinic",
  "lattice_angstrom": [[6.8128, 0.0000, 0.0000], [0.0000, 3.6994, 0.0000], [-1.9940, 0.0000, 8.8370]],
  "species": ["Sr", "Sr", "Sr", "Sr", "Tc", "Tc", "Cl", "Cl"],
  "fractional_positions": [[0.2457, 0.0000, 0.2554], [0.2543, 0.5000, 0.7446], [0.7457, 0.5000, 0.2554], [0.7543, 0.0000, 0.7446], [0.0000, 0.0000, 0.5000], [0.5000, 0.5000, 0.5000], [0.0000, 0.5000, 0.0000], [0.5000, 0.0000, 0.0000]]
}



<ii>
{
  "formula": "Sr2TcCl",
  "functional": "GGA-PBE",
  "state": "optimized geometry",
  "sg": "No. 71",
  "dos_ef_per_ev_fu": 3.7,
  "crystal_system": "orthorhombic",
  "lattice_angstrom": [[4.0527, 0.0000, 0.0000], [0.0000, 7.0681, 0.0000], [0.0000, 0.0000, 9.3863]],
  "species": ["Sr", "Sr", "Sr", "Sr", "Tc", "Tc", "Cl", "Cl"],
  "fractional_positions": [[0.0000, 0.0000, 0.2296], [0.0000, 0.0000, 0.7704], [0.5000, 0.5000, 0.2704], [0.5000, 0.5000, 0.7296], [0.0000, 0.5000, 0.0000], [0.5000, 0.0000, 0.5000], [0.0000, 0.5000, 0.5000], [0.5000, 0.0000, 0.0000]]
}



<iii>
{
  "formula": "Sr2TcCl",
  "functional": "GGA-PBE",
  "state": "optimized geometry",
  "sg": "No. 123",
  "dos_ef_per_ev_fu": 2.8,
  "crystal_system": "tetragonal",
  "lattice_angstrom": [[3.5731, 0.0000, 0.0000], [0.0000, 3.5731, 0.0000], [0.0000, 0.0000, 8.4574]],
  "species": ["Sr", "Sr", "Tc", "Cl"],
  "fractional_positions": [[0.0000, 0.0000, 0.2376], [0.0000, 0.0000, 0.7624], [0.5000, 0.5000, 0.0000], [0.5000, 0.5000, 0.5000]]
}



<iv>
{
  "formula": "Sr2TcCl",
  "functional": "GGA-PBE",
  "state": "optimized geometry",
  "sg": "No. 225",
  "dos_ef_per_ev_fu": 8.2,
  "crystal_system": "cubic",
  "lattice_angstrom": [[7.7009, 0.0000, 0.0000], [0.0000, 7.7009, 0.0000], [0.0000, 0.0000, 7.7009]],
  "species": ["Sr", "Sr", "Sr", "Sr", "Sr", "Sr", "Sr", "Sr", "Tc", "Tc", "Tc", "Tc", "Cl", "Cl", "Cl", "Cl"],
  "fractional_positions": [[0.2500, 0.2500, 0.2500], [0.2500, 0.2500, 0.7500], [0.2500, 0.7500, 0.2500], [0.2500, 0.7500, 0.7500], [0.7500, 0.2500, 0.2500], [0.7500, 0.2500, 0.7500], [0.7500, 0.7500, 0.2500], [0.7500, 0.7500, 0.7500], [0.0000, 0.0000, 0.0000], [0.0000, 0.5000, 0.5000], [0.5000, 0.0000, 0.5000], [0.5000, 0.5000, 0.0000], [0.0000, 0.0000, 0.5000], [0.0000, 0.5000, 0.0000], [0.5000, 0.0000, 0.0000], [0.5000, 0.5000, 0.5000]]
}



Which of them is the most stable? Correct choice: <iii>.



<i>
{
  "formula": "Sr2TcCl",
  "functional": "GGA-PBE",
  "state": "optimized geometry",
  "sg": "No. 99",
  "dos_ef_per_ev_fu": 5.1,
  "crystal_system": "tetragonal",
  "lattice_angstrom": [[3.6514, 0.0000, 0.0000], [0.0000, 3.6514, 0.0000], [0.0000, 0.0000, 10.1991]],
  "species": ["Sr", "Sr", "Tc", "Cl"],
  "fractional_positions": [[0.0000, 0.0000, 0.0000], [0.5000, 0.5000, 0.3627], [0.0000, 0.0000, 0.5601], [0.5000, 0.5000, 0.8580]]
}



<ii>
{
  "formula": "Sr2TcCl",
  "functional": "GGA-PBE",
  "state": "optimized geometry",
  "sg": "No. 47",
  "dos_ef_per_ev_fu": 3.9,
  "crystal_system": "orthorhombic",
  "lattice_angstrom": [[3.6403, 0.0000, 0.0000], [0.0000, 5.0922, 0.0000], [0.0000, 0.0000, 6.0928]],
  "species": ["Sr", "Sr", "Tc", "Cl"],
  "fractional_positions": [[0.0000, 0.0000, 0.0000], [0.5000, 0.5000, 0.5000], [0.0000, 0.0000, 0.5000], [0.5000, 0.5000, 0.0000]]
}



Which of them is the most stable? Correct choice: <ii>.



<i>
{
  "formula": "SrTeCl2",
  "functional": "GGA-PBE",
  "state": "optimized geometry",
  "sg": "No. 216",
  "dos_ef_per_ev_fu": 3.0,
  "crystal_system": "cubic",
  "lattice_angstrom": [[7.7654, 0.0000, 0.0000], [0.0000, 7.7654, 0.0000], [0.0000, 0.0000, 7.7654]],
  "species": ["Sr", "Sr", "Sr", "Sr", "Te", "Te", "Te", "Te", "Cl", "Cl", "Cl", "Cl", "Cl", "Cl", "Cl", "Cl"],
  "fractional_positions": [[0.0000, 0.0000, 0.0000], [0.0000, 0.5000, 0.5000], [0.5000, 0.0000, 0.5000], [0.5000, 0.5000, 0.0000], [0.2500, 0.2500, 0.2500], [0.2500, 0.7500, 0.7500], [0.7500, 0.2500, 0.7500], [0.7500, 0.7500, 0.2500], [0.0000, 0.0000, 0.5000], [0.0000, 0.5000, 0.0000], [0.2500, 0.2500, 0.7500], [0.2500, 0.7500, 0.2500], [0.5000, 0.0000, 0.0000], [0.5000, 0.5000, 0.5000], [0.7500, 0.2500, 0.2500], [0.7500, 0.7500, 0.7500]]
}



<ii>
{
  "formula": "SrTeCl2",
  "functional": "GGA-PBE",
  "state": "optimized geometry",
  "sg": "No. 8",
  "dos_ef_per_ev_fu": 2.0,
  "crystal_system": "monoclinic",
  "lattice_angstrom": [[13.0947, 0.0000, 0.0000], [0.0000, 3.7545, 0.0000], [-1.8189, 0.0000, 4.5299]],
  "species": ["Sr", "Sr", "Te", "Te", "Cl", "Cl", "Cl", "Cl"],
  "fractional_positions": [[0.0000, 0.0000, 0.0000], [0.5000, 0.5000, 0.0000], [0.2402, 0.0000, 0.7390], [0.7402, 0.5000, 0.7390], [0.1954, 0.5000, 0.1941], [0.4685, 0.0000, 0.4679], [0.6954, 0.0000, 0.1941], [0.9685, 0.5000, 0.4679]]
}



Which of them is the most stable? Correct choice: <ii>.



<i>
{
  "formula": "SrTeCl2",
  "functional": "GGA-PBE",
  "state": "optimized geometry",
  "sg": "No. 122",
  "dos_ef_per_ev_fu": 0.1,
  "crystal_system": "tetragonal",
  "lattice_angstrom": [[8.7792, 0.0000, 0.0000], [0.0000, 8.7792, 0.0000], [0.0000, 0.0000, 7.2397]],
  "species": ["Sr", "Sr", "Sr", "Sr", "Te", "Te", "Te", "Te", "Cl", "Cl", "Cl", "Cl", "Cl", "Cl", "Cl", "Cl"],
  "fractional_positions": [[0.0000, 0.0000, 0.0000], [0.0000, 0.5000, 0.2500], [0.5000, 0.0000, 0.7500], [0.5000, 0.5000, 0.5000], [0.0000, 0.0000, 0.5000], [0.0000, 0.5000, 0.7500], [0.5000, 0.0000, 0.2500], [0.5000, 0.5000, 0.0000], [0.1833, 0.2500, 0.1250], [0.2500, 0.6833, 0.3750], [0.2500, 0.8167, 0.8750], [0.3167, 0.2500, 0.6250], [0.6833, 0.7500, 0.6250], [0.7500, 0.1833, 0.8750], [0.7500, 0.3167, 0.3750], [0.8167, 0.7500, 0.1250]]
}



<ii>
{
  "formula": "SrTeCl2",
  "functional": "GGA-PBE",
  "state": "optimized geometry",
  "sg": "No. 166",
  "dos_ef_per_ev_fu": 3.1,
  "crystal_system": "trigonal",
  "lattice_angstrom": [[4.6616, 0.0000, 0.0000], [-2.3308, 4.0370, 0.0000], [0.0000, 0.0000, 30.9648]],
  "species": ["Sr", "Sr", "Sr", "Te", "Te", "Te", "Cl", "Cl", "Cl", "Cl", "Cl", "Cl"],
  "fractional_positions": [[0.0000, 0.0000, 0.0000], [0.3333, 0.6667, 0.6667], [0.6667, 0.3333, 0.3333], [0.0000, 0.0000, 0.5000], [0.3333, 0.6667, 0.1667], [0.6667, 0.3333, 0.8333], [0.0000, 0.0000, 0.0854], [0.0000, 0.0000, 0.9146], [0.3333, 0.6667, 0.5812], [0.3333, 0.6667, 0.7521], [0.6667, 0.3333, 0.2479], [0.6667, 0.3333, 0.4188]]
}



<iii>
{
  "formula": "SrTeCl2",
  "functional": "GGA-PBE",
  "state": "optimized geometry",
  "sg": "No. 123",
  "dos_ef_per_ev_fu": 2.1,
  "crystal_system": "tetragonal",
  "lattice_angstrom": [[4.9008, 0.0000, 0.0000], [0.0000, 4.9008, 0.0000], [0.0000, 0.0000, 4.5217]],
  "species": ["Sr", "Te", "Cl", "Cl"],
  "fractional_positions": [[0.0000, 0.0000, 0.0000], [0.5000, 0.5000, 0.0000], [0.0000, 0.5000, 0.5000], [0.5000, 0.0000, 0.5000]]
}



<iv>
{
  "formula": "SrTeCl2",
  "functional": "GGA-PBE",
  "state": "optimized geometry",
  "sg": "No. 6",
  "dos_ef_per_ev_fu": 0.2,
  "crystal_system": "monoclinic",
  "lattice_angstrom": [[4.6395, 0.0000, 0.0000], [0.0000, 5.3980, 0.0000], [-2.0998, 0.0000, 4.8796]],
  "species": ["Sr", "Te", "Cl", "Cl"],
  "fractional_positions": [[0.0000, 0.0000, 0.0000], [0.3914, 0.5000, 0.8260], [0.2016, 0.5000, 0.3210], [0.7001, 0.0000, 0.3937]]
}



Which of them is the most stable? Correct choice: <iv>.